# Co

A relaxed structure of Co (PBE-GGA, Alexandria via LeMat-Bulk).

## Properties
As for the energy relative to the elements: 0.010 eV/atom. The volume is 11.0 Å³/atom. The distance to the lowest polymorph of the same formula comes out at 10 meV per atom. The space group is Fm-3m.

a = 2.4937 Å, b = 2.4937 Å, c = 2.4937 Å
α = 60.00°, β = 60.00°, γ = 60.00°
Fractional positions:
Co: 0.0000 0.0000 0.0000


# SmPuCd2

A relaxed structure of SmPuCd2 (PBE-GGA, Alexandria via LeMat-Bulk).

## Properties
As for the energy relative to the elements: -0.130 eV/atom. The volume is 27.4 Å³/atom. The space group is P4/mmm.

a = 5.3673 Å, b = 5.3673 Å, c = 3.8105 Å
α = 90.00°, β = 90.00°, γ = 90.00°
Fractional positions:
Sm: 0.0000 0.0000 0.0000
Pu: 0.5000 0.5000 0.0000
Cd: 0.0000 0.5000 0.5000
Cd: 0.5000 0.0000 0.5000